*P*
First-principles (PBE) data for a relaxed structure of ScTeAuO, as listed in OQMD.

Theoretical density   7.297 g cm⁻³

Cell: 8.6588 6.3795 6.5992 Å, 90.00 105.71 90.00°
Closest atoms and distances in Å follow each position.
Space group P2_1/c (No. 14)
Asymmetric unit:
Sc: 0.0866 0.1509 0.3797 (multiplicity 4)  3 O 1.98-2.06
Te: 0.3038 0.5336 0.6362 (multiplicity 4)  3 Au 2.68-2.97
Au: 0.4270 0.1865 0.5141 (multiplicity 4)  3 Te 2.68-2.97, 1 Au 2.72, 1 Sc 2.85
O: 0.0170 0.1374 0.6537 (multiplicity 4)  3 Sc 1.98-2.06

*Q*
First-principles (PBE) data for a relaxed structure of ScTeAuO, as listed in OQMD.

Theoretical density   8.565 g cm⁻³

Cell: 3.8695 3.8695 9.9841 Å, 90.00 90.00 90.00°
Closest atoms and distances in Å follow each position.
Space group P4/nmm (No. 129, origin choice 2)
Asymmetric unit:
Sc: 0.2500 0.2500 0.0946 (multiplicity 2)  4 O 2.15
Te: 0.2500 0.2500 0.7258 (multiplicity 2)  4 Au 2.97, 4 Sc 3.27
Au: 0.2500 0.7500 0.5000 (multiplicity 2)  4 Au 2.74, 4 Te 2.97
O: 0.2500 0.7500 0.0000 (multiplicity 2)  4 Sc 2.15

*R*
First-principles (PBE) data for a relaxed structure of ScTeAuO, as listed in OQMD.

Theoretical density   8.351 g cm⁻³

Cell: 20.3897 5.4835 5.4850 Å, 90.00 90.00 90.00°
Closest atoms and distances in Å follow each position.
Space group Aea2 (No. 41)
Asymmetric unit:
Sc: 0.0461 0.2499 0.0000 (multiplicity 8)  4 O 2.15-2.16
Te: 0.1341 0.2485 0.5003 (multiplicity 8)  2 Au 2.73
Au: 0.2498 0.4974 0.0038 (multiplicity 8)  2 Te 2.73, 4 Au 2.74
O: 0.0000 0.0000 0.2501 (multiplicity 4)  4 Sc 2.15
O: 0.0000 0.0000 0.7501 (multiplicity 4)  4 Sc 2.15-2.16

Which of them is most stable, and which least? Most stable: *P*; least stable: *Q*.

*P*
First-principles (PBE) data for a relaxed structure of ScTeAuO, as listed in OQMD.

Theoretical density   8.561 g cm⁻³

Cell: 5.4474 5.4474 10.0800 Å, 90.00 90.00 90.00°
Closest atoms and distances in Å follow each position.
Space group P4bm (No. 100)
Asymmetric unit:
Sc: 0.0000 0.0000 0.0000 (multiplicity 2)  4 O 2.15
Sc: 0.0000 0.5000 0.1883 (multiplicity 2)  4 O 2.13-2.16
Te: 0.0000 0.0000 0.3688 (multiplicity 2)  4 Au 2.97, 4 Sc 3.28
Te: 0.0000 0.5000 0.8243 (multiplicity 2)  2 Au 2.79
Au: 0.1873 0.3127 0.5873 (multiplicity 4)  3 Te 2.79-2.97, 5 Au 2.81-2.89
O: 0.2480 0.2520 0.0951 (multiplicity 4)  4 Sc 2.13-2.16

*Q*
First-principles (PBE) data for a relaxed structure of ScTeAuO, as listed in OQMD.

Theoretical density   8.565 g cm⁻³

Cell: 3.8699 3.8699 9.9810 Å, 90.00 90.00 90.00°
Closest atoms and distances in Å follow each position.
Space group P4mm (No. 99)
Asymmetric unit:
Sc: 0.0000 0.0000 0.0000 (multiplicity 1)  4 O 2.15
Sc: 0.5000 0.5000 0.1892 (multiplicity 1)  4 O 2.15
Te: 0.0000 0.0000 0.3691 (multiplicity 1)  4 Au 2.97, 4 Sc 3.27
Te: 0.5000 0.5000 0.8207 (multiplicity 1)  4 Au 2.97, 4 Sc 3.27
Au: 0.0000 0.5000 0.5951 (multiplicity 2)  4 Au 2.74, 4 Te 2.97
O: 0.0000 0.5000 0.0946 (multiplicity 2)  4 Sc 2.15

*R*
First-principles (PBE) data for a relaxed structure of ScTeAuO, as listed in OQMD.

Theoretical density   6.411 g cm⁻³

Cell: 4.6690 7.6024 5.6262 Å, 90.00 90.00 90.00°
Closest atoms and distances in Å follow each position.
Space group Pmc2_1 (No. 26)
Asymmetric unit:
Sc: 0.0000 0.1372 0.0000 (multiplicity 2)  2 O 1.90-1.91
Te: 0.5000 0.3226 0.8017 (multiplicity 2)  3 Au 2.79-2.84, 2 Sc 2.95
Au: 0.5000 0.3099 0.2977 (multiplicity 2)  3 Te 2.79-2.84, 2 O 2.92
O: 0.0000 0.0793 0.3287 (multiplicity 2)  2 Sc 1.90-1.91

Which of them is most stable, and which least? Most stable: *P*; least stable: *R*.

*P*
First-principles (PBE) data for a relaxed structure of Au2Se2O7, as listed in OQMD.

Theoretical density   7.111 g cm⁻³

Cell: 6.7375 11.6722 3.9423 Å, 90.00 90.00 90.00°
Closest atoms and distances in Å follow each position.
Space group Pba2 (No. 32)
Asymmetric unit:
Au: 0.1937 0.0656 0.0000 (multiplicity 4)  4 O 1.99-2.07
Se: 0.1146 0.3256 0.7275 (multiplicity 4)  3 O 1.74-1.76
O: 0.0000 0.0000 0.3296 (multiplicity 2)  2 Au 1.99
O: 0.0332 0.2126 0.9904 (multiplicity 4)  1 Se 1.76
O: 0.1231 0.6276 0.6221 (multiplicity 4)  1 Se 1.74
O: 0.1606 0.4166 0.0698 (multiplicity 4)  1 Se 1.75

*Q*
First-principles (PBE) data for a relaxed structure of Au2Se2O7, as listed in OQMD.

Theoretical density   8.393 g cm⁻³

Cell: 6.9887 10.0066 7.5122 Å, 90.00 90.00 90.00°
Closest atoms and distances in Å follow each position.
Space group Imma (No. 74)
Asymmetric unit:
Au: 0.0000 0.0000 0.0000 (multiplicity 4)  6 O 2.15-2.40
Au: 0.2500 0.2500 0.2500 (multiplicity 4)  4 O 2.20
Se: 0.0000 0.0000 0.5000 (multiplicity 4)  4 O 1.97
Se: 0.2500 0.2500 0.7500 (multiplicity 4)  6 O 1.86-1.88
O: 0.0000 0.1174 0.2400 (multiplicity 8)  3 Au 2.15-2.20, 1 Se 2.28
O: 0.0000 0.2500 0.8362 (multiplicity 4)  2 Se 1.86
O: 0.2110 0.1156 0.5798 (multiplicity 16)  2 Se 1.88-1.97

Which of them is most stable, and which least? Most stable: *P*; least stable: *Q*.

*P*
First-principles (PBE) data for a relaxed structure of SmAuSeO, as listed in OQMD.

Theoretical density   9.640 g cm⁻³

Cell: 4.0130 4.0130 9.4613 Å, 90.00 90.00 90.00°
Closest atoms and distances in Å follow each position.
Space group P4mm (No. 99)
Asymmetric unit:
Sm: 0.0000 0.0000 0.0000 (multiplicity 1)  4 O 2.32
Sm: 0.5000 0.5000 0.2462 (multiplicity 1)  4 O 2.32
Au: 0.0000 0.5000 0.6242 (multiplicity 2)  4 Se 2.84, 4 Au 2.84
Se: 0.0000 0.0000 0.4115 (multiplicity 1)  4 Au 2.84
Se: 0.5000 0.5000 0.8362 (multiplicity 1)  4 Au 2.84
O: 0.0000 0.5000 0.1232 (multiplicity 2)  4 Sm 2.32

*Q*
First-principles (PBE) data for a relaxed structure of SmAuSeO, as listed in OQMD.

Theoretical density   10.064 g cm⁻³

Cell: 7.3286 6.3237 6.2987 Å, 90.00 90.39 90.00°
Closest atoms and distances in Å follow each position.
Space group P2_1/c (No. 14)
Asymmetric unit:
Sm: 0.1128 0.0052 0.2513 (multiplicity 4)  4 O 2.34-2.42
Au: 0.4368 0.2093 0.5139 (multiplicity 4)  3 Se 2.53-2.78, 1 Au 2.81
Se: 0.3057 0.5258 0.3003 (multiplicity 4)  3 Au 2.53-2.78
O: 0.0065 0.7416 0.0000 (multiplicity 4)  4 Sm 2.34-2.42

Which of them is most stable, and which least? Most stable: *P*; least stable: *Q*.

*P*
First-principles (PBE) data for a relaxed structure of SmAuSeO, as listed in OQMD.

Theoretical density   9.334 g cm⁻³

Cell: 5.7264 5.7399 9.5759 Å, 90.00 90.00 90.00°
Closest atoms and distances in Å follow each position.
Space group Pba2 (No. 32)
Asymmetric unit:
Sm: 0.0000 0.0000 0.0000 (multiplicity 2)  4 O 2.33
Sm: 0.0000 0.5000 0.2389 (multiplicity 2)  4 O 2.33
Au: 0.2504 0.0043 0.6189 (multiplicity 4)  2 Se 2.53
Se: 0.0000 0.0000 0.4012 (multiplicity 2)  2 Au 2.53
Se: 0.0000 0.5000 0.8373 (multiplicity 2)  2 Au 2.53
O: 0.2501 0.2495 0.1195 (multiplicity 4)  4 Sm 2.33

*Q*
First-principles (PBE) data for a relaxed structure of SmAuSeO, as listed in OQMD.

Theoretical density   8.973 g cm⁻³

Cell: 4.2322 5.7803 6.6915 Å, 90.00 90.00 90.00°
Closest atoms and distances in Å follow each position.
Space group Pmc2_1 (No. 26)
Asymmetric unit:
Sm: 0.0000 0.2480 0.0000 (multiplicity 2)  2 O 2.21-2.22
Au: 0.5000 0.1620 0.6176 (multiplicity 2)  2 O 2.36, 1 Se 2.56
Se: 0.5000 0.4102 0.3015 (multiplicity 2)  2 Au 2.56-2.76
O: 0.0000 0.0326 0.7244 (multiplicity 2)  2 Sm 2.21-2.22, 2 Au 2.36

*R*
First-principles (PBE) data for a relaxed structure of SmAuSeO, as listed in OQMD.

Theoretical density   9.589 g cm⁻³

Cell: 5.6705 5.6705 9.5277 Å, 90.00 90.00 90.00°
Closest atoms and distances in Å follow each position.
Space group P4bm (No. 100)
Asymmetric unit:
Sm: 0.0000 0.0000 0.0000 (multiplicity 2)  4 O 2.33
Sm: 0.0000 0.5000 0.2448 (multiplicity 2)  4 O 2.30-2.32
Au: 0.1808 0.3192 0.6122 (multiplicity 4)  3 Se 2.62-2.81, 1 Au 2.90
Se: 0.0000 0.0000 0.4141 (multiplicity 2)  4 Au 2.81
Se: 0.0000 0.5000 0.8415 (multiplicity 2)  2 Au 2.62
O: 0.2486 0.2514 0.1242 (multiplicity 4)  4 Sm 2.30-2.33

*S*
First-principles (PBE) data for a relaxed structure of SmAuSeO, as listed in OQMD.

Theoretical density   9.632 g cm⁻³

Cell: 9.4698 5.6751 5.6752 Å, 90.00 90.00 90.00°
Closest atoms and distances in Å follow each position.
Space group Pbcm (No. 57)
Asymmetric unit:
Sm: 0.1231 0.0011 0.2500 (multiplicity 4)  4 O 2.32
Au: 0.4940 0.2500 0.0000 (multiplicity 4)  4 Se 2.81-2.87, 4 Au 2.84
Se: 0.2879 0.5030 0.2500 (multiplicity 4)  4 Au 2.81-2.87
O: 0.9997 0.2500 0.0000 (multiplicity 4)  4 Sm 2.32

Which of them is most stable, and which least? Most stable: *P*; least stable: *Q*.

*P*
First-principles (PBE) data for a relaxed structure of SmAuSeO, as listed in OQMD.

Theoretical density   9.354 g cm⁻³

Cell: 5.7222 9.5623 5.7398 Å, 90.00 90.00 90.00°
Closest atoms and distances in Å follow each position.
Space group Pcca (No. 54)
Asymmetric unit:
Sm: 0.0000 0.1197 0.2500 (multiplicity 4)  4 O 2.32-2.33
Au: 0.2500 0.5000 0.2494 (multiplicity 4)  2 Se 2.53
Se: 0.0000 0.2815 0.7500 (multiplicity 4)  2 Au 2.53
O: 0.2500 0.0000 0.4993 (multiplicity 4)  4 Sm 2.32-2.33

*Q*
First-principles (PBE) data for a relaxed structure of SmAuSeO, as listed in OQMD.

Theoretical density   9.633 g cm⁻³

Cell: 4.0118 4.0118 9.4738 Å, 90.00 90.00 90.00°
Closest atoms and distances in Å follow each position.
Space group P4/nmm (No. 129, origin choice 2)
Asymmetric unit:
Sm: 0.2500 0.2500 0.1229 (multiplicity 2)  4 O 2.32
Au: 0.2500 0.7500 0.5000 (multiplicity 2)  4 Au 2.84, 4 Se 2.84
Se: 0.2500 0.2500 0.7127 (multiplicity 2)  4 Au 2.84
O: 0.2500 0.7500 0.0000 (multiplicity 2)  4 Sm 2.32

*R*
First-principles (PBE) data for a relaxed structure of SmAuSeO, as listed in OQMD.

Theoretical density   7.694 g cm⁻³

Cell: 5.8167 5.8110 11.3052 Å, 90.00 92.31 90.00°
Closest atoms and distances in Å follow each position.
Space group P2_1 (No. 4)
Asymmetric unit:
Sm: 0.0069 0.0000 0.0965 (multiplicity 2)  4 O 2.32-2.34
Sm: 0.4929 0.0006 0.9029 (multiplicity 2)  4 O 2.32-2.34
Au: 0.0031 0.0239 0.7253 (multiplicity 2)  2 Se 2.46-2.47
Au: 0.3142 0.2772 0.5036 (multiplicity 2)  2 Se 2.43
Se: 0.2975 0.2272 0.2904 (multiplicity 2)  2 Au 2.43-2.46
Se: 0.3042 0.3229 0.7167 (multiplicity 2)  2 Au 2.43-2.47
O: 0.2493 0.2495 0.0015 (multiplicity 2)  4 Sm 2.32-2.34
O: 0.2514 0.7496 0.9998 (multiplicity 2)  4 Sm 2.32-2.34

Which of them is most stable, and which least? Most stable: *P*; least stable: *Q*.